Entry 1:
Computed, not measured: Sc2SbP2 after structural relaxation at the PBE-GGA level of DFT.

Lattice parameters (Å, degrees): 3.6498 3.6498 7.7482 76.38 76.38 90.00
With the nearest neighbours (Å) after each atom.
Atoms (fractional coordinates):
Sc 0.3842 0.3842 0.2316  4 P 2.68
Sc 0.6158 0.6158 0.7684  4 P 2.68
Sb 0.0000 0.0000 0.0000  8 Sc 3.09
P 0.7500 0.2500 0.5000  4 P 2.58, 4 Sc 2.68
P 0.2500 0.7500 0.5000  4 P 2.58, 4 Sc 2.68

## Properties
Theoretical density (g cm⁻³): 4.67
E_form (uncorrected) (meV/atom): -889
Energy relative to the lowest polymorph listed for this composition (eV per atom): 0.000

---

Entry 2:
Computed, not measured: ScSb3P after structural relaxation at the PBE-GGA level of DFT.

Lattice parameters (Å, degrees): 5.1482 5.1482 5.1482 90.00 90.00 90.00
With the nearest neighbours (Å) after each atom.
Atoms (fractional coordinates):
Sc 0.5000 0.5000 0.5000  12 Sb 3.64
Sb 0.0000 0.5000 0.0000  2 P 2.57
Sb 0.0000 0.0000 0.5000  2 P 2.57
Sb 0.5000 0.0000 0.0000  2 P 2.57
P 0.0000 0.0000 0.0000  6 Sb 2.57

## Properties
Theoretical density (g cm⁻³): 5.37
E_form (uncorrected) (meV/atom): 324
Energy relative to the lowest polymorph listed for this composition (eV per atom): 0.000

---

Entry 3:
Computed, not measured: Sc6Sb2P after structural relaxation at the PBE-GGA level of DFT.

Lattice parameters (Å, degrees): 6.3062 6.3062 12.4625 90.00 90.00 90.00
With the nearest neighbours (Å) after each atom.
Atoms (fractional coordinates):
Sc 0.3074 0.3074 0.3551  1 P 2.49, 1 Sb 2.76
Sc 0.6926 0.6926 0.3551  1 P 2.49, 1 Sb 2.76
Sc 0.1926 0.8074 0.8551  1 P 2.49, 1 Sb 2.76
Sc 0.8074 0.1926 0.8551  1 P 2.49, 1 Sb 2.76
Sc 0.1926 0.8074 0.1449  1 P 2.49, 1 Sb 2.76
Sc 0.8074 0.1926 0.1449  1 P 2.49, 1 Sb 2.76
Sc 0.3074 0.3074 0.6449  1 P 2.49, 1 Sb 2.76
Sc 0.6926 0.6926 0.6449  1 P 2.49, 1 Sb 2.76
Sc 0.2866 0.2866 0.0000  1 P 2.56
Sc 0.7134 0.7134 0.0000  1 P 2.56
Sc 0.2134 0.7866 0.5000  1 P 2.56
Sc 0.7866 0.2134 0.5000  1 P 2.56
Sb 0.0000 0.0000 0.3270  6 Sc 2.76-2.88
Sb 0.5000 0.5000 0.8270  6 Sc 2.76-2.88
Sb 0.5000 0.5000 0.1730  6 Sc 2.76-2.88
Sb 0.0000 0.0000 0.6730  6 Sc 2.76-2.88
P 0.0000 0.0000 0.0000  6 Sc 2.49-2.56
P 0.5000 0.5000 0.5000  6 Sc 2.49-2.56

## Properties
Theoretical density (g cm⁻³): 3.65
E_form (uncorrected) (meV/atom): -477
Energy relative to the lowest polymorph listed for this composition (eV per atom): 0.395

---

Entry 4:
Computed, not measured: ScSbP2 after structural relaxation at the PBE-GGA level of DFT.

Lattice parameters (Å, degrees): 4.8359 4.8359 4.2768 73.50 73.50 106.18
With the nearest neighbours (Å) after each atom.
Atoms (fractional coordinates):
P 0.0000 0.0000 0.0000  2 Sc 2.74, 2 Sb 2.74, 2 P 2.90
P 0.5000 0.5000 0.0000  2 Sb 2.74, 2 Sc 2.74, 2 P 2.90
Sb 0.5000 0.0000 0.5000  4 P 2.74, 2 Sc 2.90
Sc 0.0000 0.5000 0.5000  4 P 2.74, 2 Sb 2.90

## Properties
Theoretical density (g cm⁻³): 4.49
E_form (uncorrected) (meV/atom): -262

---

Entry 5:
Computed, not measured: Sc2Sb2P after structural relaxation at the PBE-GGA level of DFT.

Lattice parameters (Å, degrees): 7.1370 7.1370 4.4359 90.00 90.00 90.00
With the nearest neighbours (Å) after each atom.
Atoms (fractional coordinates):
Sc 0.3286 0.8286 0.0000  2 P 2.65, 2 Sb 2.90
Sc 0.8286 0.6714 0.0000  2 P 2.65, 2 Sb 2.90
Sc 0.6714 0.1714 0.0000  2 P 2.65, 2 Sb 2.90
Sc 0.1714 0.3286 0.0000  2 P 2.65, 2 Sb 2.90
Sb 0.1438 0.6438 0.5000  6 Sc 2.90-3.17, 1 Sb 2.90
Sb 0.6438 0.8562 0.5000  6 Sc 2.90-3.17, 1 Sb 2.90
Sb 0.8562 0.3562 0.5000  6 Sc 2.90-3.17, 1 Sb 2.90
Sb 0.3562 0.1438 0.5000  6 Sc 2.90-3.17, 1 Sb 2.90
P 0.0000 0.0000 0.0000  4 Sc 2.65
P 0.5000 0.5000 0.0000  4 Sc 2.65

## Properties
Theoretical density (g cm⁻³): 5.36
E_form (uncorrected) (meV/atom): -659

---

Entry 6:
Computed, not measured: ScSbP2 after structural relaxation at the PBE-GGA level of DFT.

Lattice parameters (Å, degrees): 6.8963 6.8963 6.8963 149.15 150.26 43.38
With the nearest neighbours (Å) after each atom.
Atoms (fractional coordinates):
P 0.0505 0.0505 0.0000  2 Sc 2.76, 4 Sb 2.79
P 0.2728 0.7728 0.5000  4 Sc 2.65
Sb 0.4614 0.4614 0.0000  6 P 2.79-3.03
Sc 0.7153 0.2153 0.5000  6 P 2.65-2.76

## Properties
Theoretical density (g cm⁻³): 4.56
E_form (uncorrected) (meV/atom): -386

---

Entry 7:
Computed, not measured: ScSbP2 after structural relaxation at the PBE-GGA level of DFT.

Lattice parameters (Å, degrees): 3.4885 3.4903 6.3911 90.00 90.00 90.00
With the nearest neighbours (Å) after each atom.
Atoms (fractional coordinates):
P 0.0000 0.0000 0.9297  1 P 2.30
P 0.0000 0.0000 0.5703  1 P 2.30
Sb 0.5000 0.5000 0.2500  2 Sc 3.20, 8 P 3.21, 4 Sb 3.49
Sc 0.5000 0.5000 0.7500  8 P 2.72

## Properties
Theoretical density (g cm⁻³): 4.88
E_form (uncorrected) (meV/atom): -411

---

Entry 8:
Computed, not measured: ScSb3P after structural relaxation at the PBE-GGA level of DFT.

Lattice parameters (Å, degrees): 5.4035 5.4035 5.4035 90.00 90.00 90.00
With the nearest neighbours (Å) after each atom.
Atoms (fractional coordinates):
Sc 0.0000 0.0000 0.0000  6 Sb 2.70
Sb 0.0000 0.5000 0.0000  2 Sc 2.70
Sb 0.0000 0.0000 0.5000  2 Sc 2.70
Sb 0.5000 0.0000 0.0000  2 Sc 2.70
P 0.5000 0.5000 0.5000  12 Sb 3.82

## Properties
Theoretical density (g cm⁻³): 4.64
E_form (uncorrected) (meV/atom): 685
Energy relative to the lowest polymorph listed for this composition (eV per atom): 0.361

---

Number 1: DFT total energy -6.41 eV per atom. Number 2: DFT total energy -4.50 eV per atom. Number 3: DFT total energy -6.21 eV per atom. Number 4: DFT total energy -5.58 eV per atom. Number 5: DFT total energy -5.92 eV per atom. Number 6: DFT total energy -5.70 eV per atom. Number 7: DFT total energy -5.73 eV per atom. Number 8: DFT total energy -4.14 eV per atom.